K2C2N3 | PBE | optimized geometry

```
7
Lattice="5.485 -1.320 0.000 5.485 1.320 0.000 -4.318 0.000 5.987" Properties=species:S:1:pos:R:3 pbc="T T T"
K -0.369 0.000 1.662
K 7.021 0.000 4.325
C 2.758 0.000 0.865
C 3.893 0.000 5.122
N -0.867 0.000 5.476
N 3.326 0.000 2.994
N 7.518 0.000 0.511
```

Values from the calculation:
M_tot: 0.0 μB per cell
ΔE_f (raw): 778 kJ/mol of formula units
Energy relative to the lowest polymorph listed for this composition: 1157 meV/atom
E: -5.365 eV per atom